Here is a geometry-optimized SrMn2IF structure from Alexandria via LeMat-Bulk. Energies are from GGA+U.

For the total energy, the calculation gives -3.717 eV per atom. The calculation puts the density of states at the Fermi level at 0.443 states/eV per atom.

The structure belongs to space group P4/mmm (No. 123); the cell edges are 6.863, 6.863 and 6.081 Å and the angles 90.00°, 90.00° and 90.00°. The inequivalent atoms are Sr at (0.000, 0.000, 0.000), Mn at (0.000, 0.500, 0.000), I at (0.000, 0.000, 0.500) and F at (0.500, 0.500, 0.500).